Compound: Sr2TlSb2
Source: Alexandria via LeMat-Bulk
Functional: PBE
Structure: optimized geometry

Geometry as extended XYZ:
```
10
Lattice="9.681 0.000 0.000 0.000 9.681 0.000 0.000 0.000 3.743" Properties=species:S:1:pos:R:3 pbc="T T T"
Sr 1.354 6.194 1.871
Sr 8.328 3.487 1.871
Sr 3.487 1.354 1.871
Sr 6.194 8.328 1.871
Sb 1.542 3.299 0.000
Sb 6.382 1.542 0.000
Sb 3.299 8.139 0.000
Sb 8.139 6.382 0.000
Tl 4.841 4.841 0.000
Tl 0.000 0.000 0.000
```

## Properties
* total magnetic moment: 0.0 μB per cell
* formation energy (no corrections): -0.658 eV/atom
* uncorrected energy: -3.452 eV/atom
* crystal system: tetragonal
* V: 175.39 Å³/f.u.
* calculated density: 5.90 g/cm3



Compound: SrTlSb2
Source: Alexandria via LeMat-Bulk
Functional: PBE
Structure: optimized geometry

Geometry as extended XYZ:
```
4
Lattice="6.198 -0.033 -0.013 4.797 3.925 -0.013 1.822 0.645 5.139" Properties=species:S:1:pos:R:3 pbc="T T T"
Sb 9.423 3.335 4.155
Sb 1.937 0.686 4.977
Sr 6.371 2.255 2.505
Tl 3.316 1.174 1.171
```

## Properties
* total magnetic moment: 0.0 μB per cell
* formation energy (no corrections): -0.411 eV/atom
* uncorrected energy: -3.484 eV/atom
* crystal system: monoclinic
* V: 125.92 Å³/f.u.
* calculated density: 7.06 g/cm3



Compound: SrTlSb2
Source: Alexandria via LeMat-Bulk
Functional: PBE
Structure: optimized geometry

Geometry as extended XYZ:
```
4
Lattice="-0.720 -8.873 -5.828 2.540 -9.583 -3.865 -0.895 -10.360 -2.258" Properties=species:S:1:pos:R:3 pbc="T T T"
Tl 0.693 -21.612 -8.964
Sb 0.463 -14.449 -5.993
Sb 0.923 -28.775 -11.935
Sr 0.231 -7.204 -2.988
```

## Properties
* total magnetic moment: 0.0 μB per cell
* formation energy (no corrections): -0.157 eV/atom
* uncorrected energy: -3.230 eV/atom
* crystal system: trigonal
* V: 135.03 Å³/f.u.
* calculated density: 6.59 g/cm3